# 1
Below is a relaxed Ta2NiOs crystal, with properties calculated at the PBE-GGA level.

Its formation energy is -0.1047 eV per atom. The value obtained for the total DFT energy (no corrections) is -10.2838 eV per atom. Its distance to the lowest polymorph of the same formula is 146 meV/atom.

Cell: 3.1648 4.4073 8.9895 Å, 90.00 90.00 90.00°
Last column: nearest neighbours and their distance in Å.
Space group Imm2 (No. 44)
Inequivalent atoms, fractional coordinates:
Ta (0.0000, 0.0000, 0.0000) x2  2 Os 2.67, 4 Ni 2.71, 2 Ta 2.81
Ta (0.0000, 0.5000, 0.2420) x2  4 Os 2.71, 2 Ni 2.72, 2 Ta 2.81
Ni (0.0000, 0.0000, 0.4962) x2  6 Ta 2.71-2.72, 2 Os 2.80
Os (0.0000, 0.5000, 0.7393) x2  6 Ta 2.67-2.71, 2 Ni 2.80

---

# 2
Below is a relaxed Sr3Li2PuO6 crystal, with properties calculated at the PBE-GGA level.

The value obtained for the total DFT energy (no corrections) is -6.8326 eV per atom. The uncorrected formation energy is -2.42 eV/atom.

Cell: 5.9828 5.9828 6.5488 Å, 90.00 90.00 120.00°
Last column: nearest neighbours and their distance in Å.
Space group P-3m1 (No. 164)
Inequivalent atoms, fractional coordinates:
Sr (0.0000, 0.0000, 0.0000) x1  6 O 2.63
Sr (0.3333, 0.6667, 0.6117) x2  3 O 2.66, 1 Li 2.76
Li (0.3333, 0.6667, 0.1898) x2  3 O 1.86
Pu (0.0000, 0.0000, 0.5000) x1  6 O 2.17
O (0.1677, 0.3354, 0.3006) x6  1 Li 1.86